The following is a DFT calculation (PBE) of a relaxed In7I4Cl4 crystal.

```
data_In7I4Cl4
_chemical_formula_sum 'In14 I8 Cl8'
_cell_length_a 7.347
_cell_length_b 12.712
_cell_length_c 12.718
_cell_angle_alpha 85.80
_cell_angle_beta 74.57
_cell_angle_gamma 77.10
_symmetry_space_group_name_H-M 'P -1'
_symmetry_Int_Tables_number 2
loop_
_symmetry_equiv_pos_as_xyz
'x,y,z'
'-x,-y,-z'
loop_
_atom_site_label
_atom_site_type_symbol
_atom_site_fract_x
_atom_site_fract_y
_atom_site_fract_z
In1 In 0.034 0.282 0.216
In2 In 0.069 0.421 0.916
In3 In 0.200 0.059 0.453
In4 In 0.270 0.027 0.871
In5 In 0.302 0.741 0.246
In6 In 0.319 0.384 0.496
In7 In 0.439 0.600 0.906
I1 I 0.094 0.681 0.515
I2 I 0.107 0.015 0.206
I3 I 0.405 0.143 0.630
I4 I 0.477 0.212 0.276
Cl1 Cl 0.043 0.754 0.072
Cl2 Cl 0.181 0.509 0.208
Cl3 Cl 0.317 0.446 0.743
Cl4 Cl 0.364 0.291 0.982
```

Calculated values
- Formation energy from raw total energies: -644 meV per atom
- V: 558.0 Å³/f.u.

---

The following is a DFT calculation (PBE) of a relaxed In2ICl2 crystal.

```
data_In2ICl2
_chemical_formula_sum 'In4 I2 Cl4'
_cell_length_a 8.963
_cell_length_b 8.963
_cell_length_c 4.218
_cell_angle_alpha 90.00
_cell_angle_beta 90.00
_cell_angle_gamma 90.00
_symmetry_space_group_name_H-M 'P 4/m b m'
_symmetry_Int_Tables_number 127
_symmetry_space_group_name_Hall '-P 4 2ab'
loop_
_atom_site_label
_atom_site_type_symbol
_atom_site_fract_x
_atom_site_fract_y
_atom_site_fract_z
In1 In 0.221 0.279 0.000
I1 I 0.000 0.000 0.000
Cl1 Cl 0.139 0.639 0.500
```

Calculated values
- Formation energy from raw total energies: -618 meV per atom
- ΔE to the lowest computed polymorph: 25 meV per atom
- V: 169.4 Å³/f.u.

---

no.,total DFT energy (no corrections) (eV per atom)
1,-2.8279
2,-2.7621